Record 1
Entry from Alexandria via LeMat-Bulk: an optimized crystal structure of KPd2SN (GGA-PBE).

The value obtained for the total magnetization is 4.00 μB/cell. Its uncorrected formation energy is 2.271 eV per atom. Its density is 2.94 g/cm³. For the total DFT energy (no corrections), the calculation gives -2.52 eV/atom.

```
KPd2SN
1.0
-3.140 2.426 3.797
-4.226 -3.390 -1.328
1.730 -3.624 3.747
K S Pd N
1 1 2 1
direct
0.000 0.000 0.000
0.000 0.500 0.000
0.000 0.000 0.500
0.500 0.000 0.000
0.500 0.500 0.500
```

***

Record 2
Entry from Alexandria via LeMat-Bulk: an optimized crystal structure of KPdS2N (GGA-PBE).

The value obtained for the total magnetization is 1.29 μB/cell. Its uncorrected formation energy is 0.427 eV per atom. Its density is 3.71 g/cm³. The value obtained for the offset from the most stable computed form is 0 meV per atom. For the total DFT energy (no corrections), the calculation gives -4.15 eV/atom.

```
KPdS2N
1.0
-4.019 2.908 -1.412
0.639 -1.493 -4.896
-2.314 -2.913 0.587
S K N Pd
2 1 1 1
direct
0.500 0.000 0.000
0.000 0.500 0.000
0.500 0.500 0.500
0.000 0.000 0.500
0.000 0.000 0.000
```

***

Record 3
Entry from Alexandria via LeMat-Bulk: an optimized crystal structure of KPdSe2N (GGA-PBE).

The value obtained for the total magnetization is 5.88 μB/cell. Its uncorrected formation energy is 1.806 eV per atom. Its density is 3.15 g/cm³. The value obtained for the offset from the most stable computed form is 1504 meV per atom. For the total DFT energy (no corrections), the calculation gives -2.51 eV/atom.

```
KPdSe2N
1.0
5.856 0.000 0.000
0.000 5.856 0.000
0.000 0.000 4.887
Pd K Se N
1 1 2 1
direct
0.500 0.500 0.500
0.000 0.000 0.000
0.500 0.000 0.000
0.000 0.500 0.000
0.000 0.000 0.500
```

***

Record 4
Entry from Alexandria via LeMat-Bulk: an optimized crystal structure of KPdSe2N (GGA-PBE).

The value obtained for the total magnetization is 0.00 μB/cell. Its uncorrected formation energy is 0.401 eV per atom. Its density is 5.34 g/cm³. The value obtained for the offset from the most stable computed form is 98 meV per atom. For the total DFT energy (no corrections), the calculation gives -3.92 eV/atom.

```
KPdSe2N
1.0
-2.742 3.913 1.313
-1.523 0.180 -3.719
-3.676 -3.032 1.359
N Se Pd K
1 2 1 1
direct
0.000 0.000 0.000
0.500 0.000 0.000
0.000 0.000 0.500
0.000 0.500 0.000
0.500 0.500 0.500
```

***

Record 5
Entry from Alexandria via LeMat-Bulk: an optimized crystal structure of KPdSe2N (GGA-PBE).

The value obtained for the total magnetization is 0.61 μB/cell. Its uncorrected formation energy is 0.302 eV per atom. Its density is 4.70 g/cm³. The value obtained for the offset from the most stable computed form is 0 meV per atom. For the total DFT energy (no corrections), the calculation gives -4.01 eV/atom.

```
KPdSe2N
1.0
5.498 0.000 0.000
0.000 5.498 0.000
0.000 0.000 3.712
Pd K N Se
1 1 1 2
direct
0.000 0.000 0.000
0.500 0.500 0.500
0.000 0.000 0.500
0.000 0.500 0.000
0.500 0.000 0.000
```

***

Record 6
Entry from Alexandria via LeMat-Bulk: an optimized crystal structure of KTe2PdN (GGA-PBE).

The value obtained for the total magnetization is 3.15 μB/cell. Its uncorrected formation energy is 1.730 eV per atom. Its density is 3.93 g/cm³. The value obtained for the offset from the most stable computed form is 1485 meV per atom. For the total DFT energy (no corrections), the calculation gives -2.45 eV/atom.

```
KTe2PdN
1.0
-6.015 0.754 0.102
-0.755 -6.015 -0.095
0.070 -0.084 4.761
Te N Pd K
2 1 1 1
direct
0.500 0.000 0.000
0.000 0.500 0.000
0.000 0.000 0.500
0.500 0.500 0.500
0.000 0.000 0.000
```

***

Record 7
Entry from Alexandria via LeMat-Bulk: an optimized crystal structure of KTe2PdN (GGA-PBE).

The value obtained for the total magnetization is 0.00 μB/cell. Its uncorrected formation energy is 0.245 eV per atom. Its density is 5.24 g/cm³. The value obtained for the offset from the most stable computed form is 0 meV per atom. For the total DFT energy (no corrections), the calculation gives -3.93 eV/atom.

```
KTe2PdN
1.0
-3.641 -3.424 -3.278
-2.311 -2.326 4.997
-2.549 2.656 0.057
N Te Pd K
1 2 1 1
direct
0.000 0.000 0.500
0.500 0.000 0.000
0.000 0.500 0.000
0.000 0.000 0.000
0.500 0.500 0.500
```

***

Record 8
Entry from Alexandria via LeMat-Bulk: an optimized crystal structure of KTePdN2 (GGA-PBE).

The value obtained for the total magnetization is 3.71 μB/cell. Its uncorrected formation energy is 1.176 eV per atom. Its density is 4.71 g/cm³. The value obtained for the offset from the most stable computed form is 0 meV per atom. For the total DFT energy (no corrections), the calculation gives -4.04 eV/atom.

```
KTePdN2
1.0
4.364 0.000 0.000
0.000 4.364 0.000
0.000 0.000 5.576
K Pd N Te
1 1 2 1
direct
0.500 0.500 0.500
0.000 0.000 0.000
0.000 0.500 0.000
0.500 0.000 0.000
0.000 0.000 0.500
```